# 1
## PmCdGa2Cu2 (PBE-GGA)

Data for a geometry-optimized PmCdGa2Cu2 structure.

abc: 4.2878 4.2878 7.0349
angles: 90.00 90.00 120.00
Last column: nearest neighbours and their distance in Å.
Fractional coordinates of all 6 atoms:
1 Pm 0.0000 0.0000 0.0000  6 Ga 3.13, 6 Cu 3.27
2 Cd 0.0000 0.0000 0.5000  6 Cu 2.84, 6 Ga 2.95
3 Ga 0.3333 0.6667 0.2726  3 Cu 2.48
4 Cu 0.3333 0.6667 0.6968  3 Ga 2.48
5 Cu 0.6667 0.3333 0.3032  3 Ga 2.48
6 Ga 0.6667 0.3333 0.7274  3 Cu 2.48

Calculated total energy ... -3.6360 eV per atom
DFT formation energy ... -0.3174 eV/atom
Space group ... P-3m1 (164)

=====

# 2
## Ag2TeBr5 (PBE-GGA)

Data for a geometry-optimized Ag2TeBr5 structure.

abc: 6.1955 8.2275 12.6204
angles: 90.00 90.00 112.12
Last column: nearest neighbours and their distance in Å.
Fractional coordinates of all 16 atoms:
1 Br 0.3360 0.6720 0.0912  1 Te 2.79, 1 Ag 2.91
2 Br 0.0809 0.1618 0.3996  1 Ag 2.69, 1 Te 2.71
3 Br 0.9191 0.8382 0.8996  1 Ag 2.69, 1 Te 2.71
4 Br 0.6640 0.3280 0.5912  1 Te 2.79, 1 Ag 2.91
5 Ag 0.1943 0.3887 0.5630  3 Br 2.69-2.91
6 Ag 0.1943 0.3887 0.9370  3 Br 2.69-2.91
7 Te 0.2088 0.4177 0.2500  4 Br 2.71-2.79
8 Br 0.9191 0.8382 0.6004  1 Ag 2.69, 1 Te 2.71
9 Br 0.2791 0.5582 0.7500  2 Ag 2.69
10 Ag 0.8057 0.6113 0.4370  3 Br 2.69-2.91
11 Br 0.7209 0.4418 0.2500  2 Ag 2.69
12 Br 0.3360 0.6720 0.4088  1 Te 2.79, 1 Ag 2.91
13 Te 0.7912 0.5823 0.7500  4 Br 2.71-2.79
14 Br 0.0809 0.1618 0.1004  1 Ag 2.69, 1 Te 2.71
15 Br 0.6640 0.3280 0.9088  1 Te 2.79, 1 Ag 2.91
16 Ag 0.8057 0.6113 0.0630  3 Br 2.69-2.91

Calculated total energy ... -2.4361 eV per atom
Space group ... Cmcm (63)

=====

# 3
## Ba2TlBr (PBE-GGA)

Data for a geometry-optimized Ba2TlBr structure.

abc: 9.4745 9.4745 9.4745
angles: 28.61 28.61 28.61
Last column: nearest neighbours and their distance in Å.
Fractional coordinates of all 4 atoms:
1 Ba 0.5011 0.5011 0.5011  3 Br 3.51, 3 Tl 3.55
2 Tl 0.7500 0.7500 0.7500  6 Ba 3.55
3 Br 0.2500 0.2500 0.2500  6 Ba 3.51
4 Ba 0.9989 0.9989 0.9989  3 Br 3.51, 3 Tl 3.55

Calculated total energy ... -2.9489 eV per atom
Space group ... R-3m (166)

=====

# 4
## Sm4InBiTe2 (PBE-GGA)

Data for a geometry-optimized Sm4InBiTe2 structure.

abc: 4.4060 7.8238 7.8294
angles: 71.36 90.00 90.00
Last column: nearest neighbours and their distance in Å.
Fractional coordinates of all 8 atoms:
1 Te 0.5000 0.0000 0.5000  6 Sm 3.18
2 Sm 0.0000 0.2555 0.2531  1 In 3.12, 2 Bi 3.16, 3 Te 3.18-3.23
3 Sm 0.5000 0.7475 0.2528  2 In 3.15, 3 Te 3.18-3.19, 1 Bi 3.18
4 Sm 0.0000 0.7445 0.7469  1 In 3.12, 2 Bi 3.16, 3 Te 3.18-3.23
5 In 0.0000 0.5000 0.5000  6 Sm 3.12-3.15
6 Bi 0.5000 0.5000 0.0000  6 Sm 3.16-3.18
7 Te 0.0000 0.0000 0.0000  6 Sm 3.19-3.23
8 Sm 0.5000 0.2525 0.7472  2 In 3.15, 3 Te 3.18-3.19, 1 Bi 3.18

Calculated total energy ... -5.0039 eV per atom
Space group ... P2/m (10)

=====

# 5
## UNbMoOs (PBE-GGA)

Data for a geometry-optimized UNbMoOs structure.

abc: 4.6658 4.6658 4.6658
angles: 60.00 60.00 60.00
Last column: nearest neighbours and their distance in Å.
Fractional coordinates of all 4 atoms:
1 U 0.5000 0.5000 0.5000  4 Os 2.86, 4 Mo 2.86
2 Mo 0.7500 0.7500 0.7500  4 U 2.86, 4 Nb 2.86
3 Os 0.2500 0.2500 0.2500  4 U 2.86, 4 Nb 2.86
4 Nb 0.0000 0.0000 0.0000  4 Mo 2.86, 4 Os 2.86

Calculated total energy ... -10.8161 eV per atom
DFT formation energy ... 0.0386 eV/atom
Space group ... F-43m (216)

=====

# 6
## Ta2GeAu (PBE-GGA)

Data for a geometry-optimized Ta2GeAu structure.

abc: 7.2449 7.2449 5.8608
angles: 51.82 51.82 90.00
Last column: nearest neighbours and their distance in Å.
Fractional coordinates of all 8 atoms:
1 Ta 0.1366 0.6250 0.2500  2 Ge 2.60, 2 Au 2.72, 2 Ta 2.85
2 Ge 0.2500 0.7500 0.5000  4 Ta 2.60, 2 Au 2.85
3 Ta 0.8750 0.8634 0.7500  2 Ge 2.60, 2 Au 2.72, 2 Ta 2.85
4 Au 0.7500 0.2500 0.5000  4 Ta 2.72, 2 Ge 2.85
5 Ta 0.6133 0.1250 0.2500  2 Ge 2.60, 2 Au 2.72, 2 Ta 2.85
6 Ge 0.5000 0.5000 0.0000  4 Ta 2.60, 2 Au 2.85
7 Ta 0.3750 0.3866 0.7500  2 Ge 2.60, 2 Au 2.72, 2 Ta 2.85
8 Au 0.0000 0.0000 0.0000  4 Ta 2.72, 2 Ge 2.85

Calculated total energy ... -7.6735 eV per atom
DFT formation energy ... 0.2265 eV/atom
Space group ... I-42d (122)

=====

no.,DOS(E_F) (states/eV/cell),total moment (μB/f.u.)
1,2.3,0.00
2,2.3,0.00
3,2.5,0.00
4,2.7,0.00
5,6.8,1.48
6,4.6,0.00